RbPRh2, optimized geometry, DFT PBE; symmetry = I-42d; density of states at the Fermi level = 10.68 states/eV per cell; E = -5.197 eV/atom; crystal system = tetragonal; magnetization = 0.0 μB per formula unit; calculated formation energy = 0.29 eV/f.u.
1.0
-1.141 -3.576 -3.823
4.957 0.517 -1.964
4.167 -6.849 1.407
P Rb Rh
2 2 4
direct
0.500 0.500 0.000
0.250 0.750 0.500
0.000 0.000 0.000
0.750 0.250 0.500
0.326 0.625 0.250
0.424 0.125 0.250
0.375 0.576 0.750
0.875 0.674 0.750